VASP calculation (GGA-PBE) on a relaxed structure of TaBr.

POSCAR file:
```
TaBr
1.0
0.000 2.710 2.710
2.710 0.000 2.710
2.710 2.710 0.000
Ta Br
1 1
Cartesian
0.000 0.000 0.000 Ta
2.710 2.710 2.710 Br
```

Summary:
**Final energy**: -5.159 eV/atom
**Space-group type**: Fm-3m, No. 225

---

VASP calculation (GGA-PBE) on a relaxed structure of Tm3Ag2Au.

POSCAR file:
```
Tm3Ag2Au
1.0
3.573 0.000 0.000
0.000 3.573 0.000
0.000 0.000 10.666
Tm Ag Au
3 2 1
Cartesian
0.000 0.000 0.000 Tm
0.000 0.000 3.600 Tm
0.000 0.000 7.066 Tm
1.786 1.786 1.777 Ag
1.786 1.786 8.890 Ag
1.786 1.786 5.333 Au
```

Summary:
**Final energy**: -4.260 eV/atom
**Calculated formation energy**: -0.537 eV per atom
**Space-group type**: P4/mmm, No. 123